(1)
The following is a DFT calculation (PBE) of a relaxed structure of Sm3Tm4Se8.

VASP energy ... -5.800 eV per atom

Unit cell a=8.140 b=8.158 c=8.158 alpha=90.04 beta=119.88 gamma=119.88
Atoms (fractional coordinates):
Sm  0.500  0.500  0.000
Sm  0.500  0.000  0.500
Sm  0.500  0.500  0.500
Tm  0.500  0.000  0.000
Tm  0.000  0.500  0.000
Tm  0.000  0.000  0.000
Tm  0.000  0.000  0.500
Se  0.498  0.245  0.245
Se  0.000  0.750  0.250
Se  0.991  0.246  0.246
Se  0.500  0.755  0.245
Se  0.500  0.245  0.755
Se  0.009  0.754  0.754
Se  0.000  0.250  0.750
Se  0.502  0.755  0.755

(2)
The following is a DFT calculation (PBE) of a relaxed structure of SmTm2Se4.

Offset from the most stable computed form ... 0.033 eV per atom

Unit cell a=3.976 b=6.948 c=13.735 alpha=90.00 beta=90.00 gamma=106.63
Atoms (fractional coordinates):
Sm  0.625  0.250  0.750
Sm  0.375  0.750  0.250
Tm  0.130  0.261  0.432
Tm  0.870  0.739  0.932
Tm  0.130  0.261  0.068
Tm  0.870  0.739  0.568
Se  0.774  0.548  0.119
Se  0.774  0.548  0.381
Se  0.226  0.452  0.881
Se  0.226  0.452  0.619
Se  0.962  0.924  0.750
Se  0.038  0.076  0.250
Se  0.500  0.000  0.000
Se  0.500  0.000  0.500

(3)
The following is a DFT calculation (PBE) of a relaxed structure of SmTm6Se8.

Offset from the most stable computed form ... 0.000 eV per atom

Unit cell a=8.025 b=8.025 c=8.025 alpha=60.00 beta=60.00 gamma=60.00
Atoms (fractional coordinates):
Sm  0.000  0.000  0.000
Tm  0.000  0.500  0.500
Tm  0.500  0.000  0.000
Tm  0.500  0.500  0.000
Tm  0.000  0.000  0.500
Tm  0.000  0.500  0.000
Tm  0.500  0.000  0.500
Se  0.750  0.750  0.750
Se  0.250  0.250  0.250
Se  0.740  0.260  0.260
Se  0.260  0.740  0.740
Se  0.260  0.260  0.740
Se  0.740  0.740  0.260
Se  0.740  0.260  0.740
Se  0.260  0.740  0.260

(4)
The following is a DFT calculation (PBE) of a relaxed structure of Sm2TmSe.

Offset from the most stable computed form ... 0.149 eV per atom

Unit cell a=3.798 b=3.798 c=10.520 alpha=79.60 beta=79.60 gamma=60.00
Atoms (fractional coordinates):
Tm  0.000  0.000  0.000
Se  0.500  0.500  0.500
Sm  0.108  0.108  0.678
Sm  0.892  0.892  0.322

(5)
The following is a DFT calculation (PBE) of a relaxed structure of SmTmSe2.

Offset from the most stable computed form ... 0.000 eV per atom

Unit cell a=4.055 b=4.055 c=7.209 alpha=73.58 beta=73.58 gamma=60.17
Atoms (fractional coordinates):
Sm  0.500  0.500  0.500
Tm  0.000  0.000  0.000
Se  0.745  0.745  0.766
Se  0.255  0.255  0.234

(6)
The following is a DFT calculation (PBE) of a relaxed structure of SmTm2Se4.

Offset from the most stable computed form ... 0.000 eV per atom

Unit cell a=8.230 b=8.117 c=8.117 alpha=60.17 beta=59.54 gamma=59.54
Atoms (fractional coordinates):
Sm  0.500  0.500  0.000
Sm  0.000  0.500  0.000
Tm  0.000  0.000  0.000
Tm  0.000  0.000  0.500
Tm  0.000  0.500  0.500
Tm  0.500  0.000  0.500
Se  0.253  0.239  0.255
Se  0.747  0.245  0.261
Se  0.253  0.755  0.739
Se  0.747  0.761  0.745
Se  0.755  0.754  0.254
Se  0.762  0.246  0.746
Se  0.238  0.754  0.254
Se  0.245  0.246  0.746

(7)
The following is a DFT calculation (PBE) of a relaxed structure of SmTmSe3.

Offset from the most stable computed form ... 0.008 eV per atom

Unit cell a=4.069 b=8.062 c=8.220 alpha=95.14 beta=90.00 gamma=90.00
Atoms (fractional coordinates):
Sm  0.250  0.380  0.228
Sm  0.750  0.620  0.772
Tm  0.250  0.854  0.325
Tm  0.750  0.146  0.675
Se  0.750  0.624  0.390
Se  0.250  0.376  0.610
Se  0.750  0.315  0.976
Se  0.250  0.899  0.679
Se  0.250  0.685  0.024
Se  0.750  0.101  0.321

(8)
The following is a DFT calculation (PBE) of a relaxed structure of Sm2Tm4Se9.

VASP energy ... -5.760 eV per atom

Unit cell a=7.191 b=7.193 c=19.432 alpha=90.01 beta=90.04 gamma=60.05
Atoms (fractional coordinates):
Sm  0.999  0.002  0.350
Sm  0.000  0.999  0.149
Sm  0.001  0.998  0.650
Sm  0.000  0.001  0.851
Tm  0.333  0.334  0.987
Tm  0.334  0.333  0.488
Tm  0.667  0.666  0.013
Tm  0.332  0.334  0.181
Tm  0.666  0.667  0.512
Tm  0.666  0.667  0.319
Tm  0.334  0.333  0.681
Tm  0.668  0.666  0.819
Se  0.001  0.312  0.750
Se  0.312  0.688  0.750
Se  0.689  0.000  0.750
Se  0.999  0.688  0.250
Se  0.688  0.312  0.250
Se  0.311  0.000  0.250
Se  0.652  0.976  0.416
Se  0.975  0.373  0.417
Se  0.371  0.654  0.416
Se  0.626  0.026  0.083
Se  0.347  0.627  0.084
Se  0.026  0.345  0.083
Se  0.348  0.024  0.584
Se  0.025  0.627  0.583
Se  0.629  0.346  0.584
Se  0.374  0.974  0.917
Se  0.653  0.373  0.916
Se  0.974  0.655  0.917

(9)
The following is a DFT calculation (PBE) of a relaxed structure of Sm3TmSe4.

VASP energy ... -5.846 eV per atom

Unit cell a=4.075 b=7.199 c=7.199 alpha=108.74 beta=90.00 gamma=90.00
Atoms (fractional coordinates):
Sm  0.000  0.000  0.500
Sm  0.500  0.500  0.500
Sm  0.000  0.500  0.000
Tm  0.500  0.000  0.000
Se  0.000  0.240  0.240
Se  0.500  0.755  0.245
Se  0.000  0.760  0.760
Se  0.500  0.245  0.755

(10)
The following is a DFT calculation (PBE) of a relaxed structure of Sm2TmSe4.

Offset from the most stable computed form ... 0.000 eV per atom

Unit cell a=8.210 b=8.168 c=8.168 alpha=60.89 beta=59.83 gamma=59.83
Atoms (fractional coordinates):
Sm  0.000  0.000  0.000
Sm  0.000  0.000  0.500
Sm  0.000  0.500  0.500
Sm  0.500  0.000  0.500
Tm  0.500  0.500  0.000
Tm  0.000  0.500  0.000
Se  0.258  0.250  0.234
Se  0.742  0.266  0.250
Se  0.258  0.734  0.750
Se  0.742  0.750  0.766
Se  0.753  0.746  0.246
Se  0.744  0.254  0.754
Se  0.256  0.746  0.246
Se  0.247  0.254  0.754

(11)
The following is a DFT calculation (PBE) of a relaxed structure of SmTmSe2.

Offset from the most stable computed form ... 0.030 eV per atom

Unit cell a=3.958 b=3.958 c=7.593 alpha=74.89 beta=74.89 gamma=60.00
Atoms (fractional coordinates):
Sm  0.672  0.672  0.985
Tm  0.495  0.495  0.515
Se  0.086  0.086  0.742
Se  0.247  0.247  0.258

(12)
The following is a DFT calculation (PBE) of a relaxed structure of SmTm2Se.

Offset from the most stable computed form ... 0.256 eV per atom

Unit cell a=3.655 b=3.655 c=10.621 alpha=80.09 beta=80.09 gamma=60.00
Atoms (fractional coordinates):
Tm  0.109  0.109  0.674
Tm  0.891  0.891  0.326
Se  0.500  0.500  0.500
Sm  0.000  0.000  0.000